Version w
# KWS3

Crystalline KWS3 at its relaxed geometry (PBE, the Alexandria database).

## Properties
Density = 4.326 Mg/m³
Total magnetic moment = 0.00 μB per cell

The structure in CIF format:
```
data_KWS3
_space_group_name_H-M_alt 'P m -3 m'
_space_group_IT_number 221
_space_group_name_Hall '-P 4 2 3'
_cell_length_a 4.966
_cell_length_b 4.966
_cell_length_c 4.966
_cell_angle_alpha 90.00
_cell_angle_beta 90.00
_cell_angle_gamma 90.00
loop_
_atom_site_label
_atom_site_type_symbol
_atom_site_fract_x
_atom_site_fract_y
_atom_site_fract_z
K1 K 0.000 0.000 0.000
W1 W 0.500 0.500 0.500
S1 S 0.000 0.000 0.500
```

---

Version x
# KWS3

Crystalline KWS3 at its relaxed geometry (PBE, the Alexandria database).

## Properties
Density = 4.899 Mg/m³
Total magnetic moment = 0.00 μB per cell

The structure in CIF format:
```
data_KWS3
_space_group_name_H-M_alt 'P m -3 m'
_space_group_IT_number 221
_space_group_name_Hall '-P 4 2 3'
_cell_length_a 4.765
_cell_length_b 4.765
_cell_length_c 4.765
_cell_angle_alpha 90.00
_cell_angle_beta 90.00
_cell_angle_gamma 90.00
loop_
_atom_site_label
_atom_site_type_symbol
_atom_site_fract_x
_atom_site_fract_y
_atom_site_fract_z
K1 K 0.000 0.000 0.000
W1 W 0.500 0.500 0.500
S1 S 0.000 0.500 0.500
```

---

We find version x to be the most stable, with the next structure 2.983 eV/atom higher.

---

Version w
# KWS3

Crystalline KWS3 at its relaxed geometry (PBE, the Alexandria database).

## Properties
Density = 3.817 Mg/m³
Total magnetic moment = 0.00 μB per cell

The structure in CIF format:
```
data_KWS3
_space_group_name_H-M_alt 'P -1'
_space_group_IT_number 2
_cell_length_a 6.241
_cell_length_b 6.752
_cell_length_c 7.034
_cell_angle_alpha 70.08
_cell_angle_beta 89.95
_cell_angle_gamma 85.42
loop_
_space_group_symop_operation_xyz
'x,y,z'
'-x,-y,-z'
loop_
_atom_site_label
_atom_site_type_symbol
_atom_site_fract_x
_atom_site_fract_y
_atom_site_fract_z
K1 K 0.214 0.192 0.179
W1 W 0.286 0.575 0.531
S1 S 0.002 0.368 0.717
S2 S 0.278 0.843 0.640
S3 S 0.488 0.688 0.238
```

---

Version x
# KWS3

Crystalline KWS3 at its relaxed geometry (PBE, the Alexandria database).

## Properties
Density = 4.259 Mg/m³
Total magnetic moment = 0.00 μB per cell

The structure in CIF format:
```
data_KWS3
_space_group_name_H-M_alt 'C 1 2/c 1'
_space_group_IT_number 15
_cell_length_a 15.065
_cell_length_b 10.757
_cell_length_c 6.156
_cell_angle_alpha 90.00
_cell_angle_beta 93.79
_cell_angle_gamma 90.00
loop_
_space_group_symop_operation_xyz
'x,y,z'
'-x,-y,-z'
'-x,y,-z+1/2'
'x,-y,z+1/2'
'x+1/2,y+1/2,z'
'-x+1/2,-y+1/2,-z'
'-x+1/2,y+1/2,-z+1/2'
'x+1/2,-y+1/2,z+1/2'
loop_
_atom_site_label
_atom_site_type_symbol
_atom_site_fract_x
_atom_site_fract_y
_atom_site_fract_z
K1 K 0.000 0.114 0.250
K2 K 0.000 0.337 0.750
W1 W 0.246 0.425 0.089
S1 S 0.143 0.455 0.376
S2 S 0.153 0.064 0.605
S3 S 0.168 0.231 0.087
```

---

We find version w to be the most stable, with the next structure 0.171 eV/atom higher.

---

Version w
# KY3S

Crystalline KY3S at its relaxed geometry (PBE, the Alexandria database).

## Properties
Density = 3.455 Mg/m³
Total magnetic moment = 0.03 μB per cell

The structure in CIF format:
```
data_KY3S
_space_group_name_H-M_alt 'P m -3 m'
_space_group_IT_number 221
_space_group_name_Hall '-P 4 2 3'
_cell_length_a 5.456
_cell_length_b 5.456
_cell_length_c 5.456
_cell_angle_alpha 90.00
_cell_angle_beta 90.00
_cell_angle_gamma 90.00
loop_
_atom_site_label
_atom_site_type_symbol
_atom_site_fract_x
_atom_site_fract_y
_atom_site_fract_z
K1 K 0.000 0.000 0.000
Y1 Y 0.000 0.500 0.500
S1 S 0.500 0.500 0.500
```

---

Version x
# KY3S

Crystalline KY3S at its relaxed geometry (PBE, the Alexandria database).

## Properties
Density = 3.512 Mg/m³
Total magnetic moment = 0.00 μB per cell

The structure in CIF format:
```
data_KY3S
_space_group_name_H-M_alt 'P m -3 m'
_space_group_IT_number 221
_space_group_name_Hall '-P 4 2 3'
_cell_length_a 5.426
_cell_length_b 5.426
_cell_length_c 5.426
_cell_angle_alpha 90.00
_cell_angle_beta 90.00
_cell_angle_gamma 90.00
loop_
_atom_site_label
_atom_site_type_symbol
_atom_site_fract_x
_atom_site_fract_y
_atom_site_fract_z
K1 K 0.000 0.000 0.000
Y1 Y 0.000 0.000 0.500
S1 S 0.500 0.500 0.500
```

---

We find version w to be the most stable, with the next structure 1.668 eV/atom higher.

---

Version w
# KYS3

Crystalline KYS3 at its relaxed geometry (PBE, the Alexandria database).

## Properties
Density = 2.837 Mg/m³
Total magnetic moment = 0.00 μB per cell

The structure in CIF format:
```
data_KYS3
_space_group_name_H-M_alt 'P m -3 m'
_space_group_IT_number 221
_space_group_name_Hall '-P 4 2 3'
_cell_length_a 5.082
_cell_length_b 5.082
_cell_length_c 5.082
_cell_angle_alpha 90.00
_cell_angle_beta 90.00
_cell_angle_gamma 90.00
loop_
_atom_site_label
_atom_site_type_symbol
_atom_site_fract_x
_atom_site_fract_y
_atom_site_fract_z
K1 K 0.000 0.000 0.000
Y1 Y 0.500 0.500 0.500
S1 S 0.000 0.000 0.500
```

---

Version x
# KYS3

Crystalline KYS3 at its relaxed geometry (PBE, the Alexandria database).

## Properties
Density = 2.469 Mg/m³
Total magnetic moment = 1.91 μB per cell

The structure in CIF format:
```
data_KYS3
_space_group_name_H-M_alt 'P m -3 m'
_space_group_IT_number 221
_space_group_name_Hall '-P 4 2 3'
_cell_length_a 5.323
_cell_length_b 5.323
_cell_length_c 5.323
_cell_angle_alpha 90.00
_cell_angle_beta 90.00
_cell_angle_gamma 90.00
loop_
_atom_site_label
_atom_site_type_symbol
_atom_site_fract_x
_atom_site_fract_y
_atom_site_fract_z
K1 K 0.000 0.000 0.000
Y1 Y 0.500 0.500 0.500
S1 S 0.000 0.500 0.500
```

---

We find version x to be the most stable, with the next structure 1.295 eV/atom higher.